Material: CaNd7Ho4
Method: DFT, PBE
State: optimized geometry

```
CaNd7Ho4
1.0
6.363 0.000 0.000
-0.001 7.343 0.000
-2.109 -0.038 8.799
Ca Nd Ho
1 7 4
Direct
0.000 0.000 0.000
0.000 0.500 0.000
0.225 0.000 0.659
0.284 0.255 0.339
0.499 0.741 0.002
0.501 0.259 0.998
0.716 0.745 0.661
0.775 0.000 0.341
0.219 0.500 0.666
0.281 0.743 0.337
0.719 0.257 0.663
0.781 0.500 0.334
```

spin magnetization = 0.00 μB per formula unit
energy relative to the elements = 0.3 eV per formula unit
crystal system = triclinic
space group = P-1

Material: NbBrF3
Method: DFT, PBE
State: optimized geometry

```
NbBrF3
1.0
-3.249 3.963 4.389
3.249 -3.963 4.389
3.249 3.963 -4.389
Nb Br F
2 2 6
Direct
0.000 0.214 0.214
0.000 0.786 0.786
0.215 0.715 0.500
0.785 0.285 0.500
0.182 0.182 0.000
0.240 0.219 0.458
0.240 0.781 0.021
0.760 0.219 0.979
0.760 0.781 0.542
0.818 0.818 0.000
```

spin magnetization = 0.00 μB per formula unit
crystal system = orthorhombic
formation energy from raw total energies = -1138 kJ/mol of formula units
space group = Immm

Material: Mg2FeHg
Method: DFT, PBE
State: optimized geometry

```
Mg2FeHg
1.0
1.516 0.875 9.563
-1.516 0.875 9.563
0.000 -1.750 9.563
Mg Fe Hg
2 1 1
Direct
0.241 0.241 0.241
0.759 0.759 0.759
0.500 0.500 0.500
0.000 0.000 0.000
```

spin magnetization = 2.36 μB per formula unit
energy relative to the elements = 0.8 eV per formula unit
crystal system = trigonal
space group = R-3m

Material: Ni2SbW
Method: DFT, PBE
State: optimized geometry

```
Ni2SbW
1.0
1.463 0.845 8.307
-1.463 0.845 8.307
0.000 -1.690 8.307
Ni Sb W
2 1 1
Direct
0.248 0.248 0.248
0.752 0.752 0.752
0.000 0.000 0.000
0.500 0.500 0.500
```

spin magnetization = 0.00 μB per formula unit
crystal system = trigonal
formation energy from raw total energies = 145 kJ/mol of formula units
space group = R-3m